Record 1
Entry from OQMD: Ni3AsC after structural relaxation (PBE).

Calculated values
volume	115	Å³ per cell
calculated density	7.6	g cm⁻³
SG	No. 63
calculated total energy	-6.013	eV per atom

Cell lengths 5.9062, 5.9062, 6.8926 Å; angles 90.00, 90.00, 151.30 degrees
With the nearest neighbours (Å) after each atom.
Atoms (fractional coordinates):
1 Ni 0.0664 0.9336 0.7500  2 C 1.88
2 Ni 0.3939 0.6061 0.5554  2 C 1.94
3 Ni 0.3939 0.6061 0.9446  2 C 1.94
4 Ni 0.6061 0.3939 0.0554  2 C 1.94
5 Ni 0.6061 0.3939 0.4446  2 C 1.94
6 Ni 0.9336 0.0664 0.2500  2 C 1.88
7 As 0.2507 0.7493 0.2500  8 Ni 2.55-2.67
8 As 0.7493 0.2507 0.7500  8 Ni 2.55-2.67
9 C 0.0000 0.0000 0.0000  6 Ni 1.88-1.94
10 C 0.0000 0.0000 0.5000  6 Ni 1.88-1.94

Record 2
Entry from OQMD: ZrGeOs after structural relaxation (PBE).

Calculated values
volume	57	Å³ per cell
calculated density	10.4	g cm⁻³
SG	No. 216
calculated total energy	-8.064	eV per atom

Cell lengths 4.3088, 4.3088, 4.3088 Å; angles 60.00, 60.00, 60.00 degrees
With the nearest neighbours (Å) after each atom.
Atoms (fractional coordinates):
1 Zr 0.0000 0.0000 0.0000  4 Ge 2.64
2 Ge 0.7500 0.7500 0.7500  4 Zr 2.64, 4 Os 2.64
3 Os 0.5000 0.5000 0.5000  4 Ge 2.64

Record 3
Entry from OQMD: TaNi4Ir2 after structural relaxation (PBE).

Calculated values
volume	95	Å³ per cell
calculated density	14.0	g cm⁻³
SG	No. 164
calculated total energy	-7.179	eV per atom

Cell lengths 2.6781, 2.6781, 15.3310 Å; angles 90.00, 90.00, 120.00 degrees
With the nearest neighbours (Å) after each atom.
Atoms (fractional coordinates):
1 Ta 0.0000 0.0000 0.0000  6 Ni 2.68, 6 Ta 2.68
2 Ni 0.3333 0.6667 0.4371  9 Ni 2.47-2.68, 3 Ir 2.55
3 Ni 0.3333 0.6667 0.8575  1 Ir 2.49, 3 Ta 2.68, 6 Ni 2.68
4 Ni 0.6667 0.3333 0.1425  1 Ir 2.49, 3 Ta 2.68, 6 Ni 2.68
5 Ni 0.6667 0.3333 0.5629  9 Ni 2.47-2.68, 3 Ir 2.55
6 Ir 0.3333 0.6667 0.6954  4 Ni 2.49-2.55, 6 Ir 2.68
7 Ir 0.6667 0.3333 0.3046  4 Ni 2.49-2.55, 6 Ir 2.68